Record 1
Rb3Cd4Sb4: optimized geometry, PBE.

a = 14.663 Å, b = 14.663 Å, c = 14.663 Å
α = 160.08°, β = 158.35°, γ = 29.59°
Fractional positions:
Rb  0.000  0.000  0.000
Rb  0.149  0.649  0.500
Rb  0.851  0.351  0.500
Cd  0.247  0.247  0.000
Cd  0.403  0.903  0.500
Cd  0.597  0.097  0.500
Cd  0.753  0.753  0.000
Sb  0.302  0.802  0.500
Sb  0.448  0.448  0.000
Sb  0.552  0.552  0.000
Sb  0.698  0.198  0.500

Computed properties:
DOS(E_F) = 2.298 states/eV/f.u.
Raw formation energy = -0.278 eV/atom
Magnetization = 0.000 μB/atom
Relative energy among the computed polymorphs = 0.00 eV per formula unit

=====

Record 2
CrFe7: optimized geometry, PBE.

a = 6.372 Å, b = 6.372 Å, c = 6.372 Å
α = 143.32°, β = 143.32°, γ = 52.84°
Fractional positions:
Cr  0.000  0.000  0.000
Fe  0.125  0.625  0.500
Fe  0.250  0.250  0.000
Fe  0.375  0.875  0.500
Fe  0.500  0.500  0.000
Fe  0.625  0.125  0.500
Fe  0.750  0.750  0.000
Fe  0.875  0.375  0.500

Computed properties:
DOS(E_F) = 3.796 states/eV/f.u.
Magnetization = 1.747 μB/atom
Relative energy among the computed polymorphs = 0.00 eV per formula unit

=====

Record 3
AlInBr2: optimized geometry, PBE.

a = 3.688 Å, b = 3.688 Å, c = 9.331 Å
α = 90.00°, β = 90.00°, γ = 110.84°
Fractional positions:
Al  0.000  0.000  0.000
In  0.500  0.500  0.773
Br  0.000  0.000  0.567
Br  0.500  0.500  0.178

Computed properties:
DOS(E_F) = 1.321 states/eV/f.u.
Raw formation energy = -0.332 eV/atom
Magnetization = 0.000 μB/atom
Relative energy among the computed polymorphs = 0.59 eV per formula unit

=====

Record 4
Hf3ScAg: optimized geometry, PBE.

a = 5.109 Å, b = 5.109 Å, c = 5.109 Å
α = 90.00°, β = 90.00°, γ = 90.00°
Fractional positions:
Hf  0.000  0.000  0.500
Hf  0.000  0.500  0.000
Hf  0.500  0.000  0.000
Sc  0.500  0.500  0.500
Ag  0.000  0.000  0.000

Computed properties:
DOS(E_F) = 6.043 states/eV/f.u.
Magnetization = 0.000 μB/atom
Relative energy among the computed polymorphs = 0.00 eV per formula unit